1.
Density functional theory data (PBE-GGA) for a relaxed BaMg3Ag2 crystal.

```
BaMg3Ag2
1.0
10.778 0.000 0.000
-5.389 9.334 0.000
0.000 0.000 4.647
Ba Mg Ag
3 9 6
Cartesian
0.000 0.000 0.000
0.000 6.222 2.324
5.389 3.111 2.324
-1.621 2.808 2.324
-2.694 4.667 0.000
-3.767 6.525 2.324
3.243 0.000 2.324
1.621 2.808 2.324
5.389 0.000 0.000
2.694 4.667 0.000
7.535 0.000 2.324
3.767 6.525 2.324
0.000 3.485 0.000
-2.371 7.591 0.000
3.018 1.742 0.000
2.371 7.591 0.000
7.760 1.742 0.000
5.389 5.849 0.000
```

Computed properties:
energy above the most stable polymorph in this dataset	0	meV per atom
size of the total moment	0.0	Bohr magnetons per cell
formation enthalpy at 0 K	-21	kJ per mole of atoms



2.
Density functional theory data (PBE-GGA) for a relaxed Ba2Mg5Ag4 crystal.

```
Ba2Mg5Ag4
1.0
0.000 5.385 8.642
3.176 0.000 8.642
3.176 5.385 0.000
Ba Mg Ag
2 5 4
Cartesian
3.176 5.385 2.446
3.176 5.385 14.838
1.588 2.693 0.000
1.588 2.693 4.321
1.588 2.693 8.642
3.176 5.385 8.642
4.764 8.078 12.963
3.176 3.770 6.374
3.176 3.770 10.910
3.176 7.001 6.374
3.176 7.001 10.910
```

Computed properties:
size of the total moment	0.0	Bohr magnetons per cell
formation enthalpy at 0 K	-18	kJ per mole of atoms



3.
Density functional theory data (PBE-GGA) for a relaxed Ba4MgAg crystal.

```
Ba4MgAg
1.0
0.000 5.246 5.246
5.246 0.000 5.246
5.246 5.246 0.000
Ba Mg Ag
4 1 1
Cartesian
1.313 1.313 1.313
3.933 3.933 1.313
3.933 1.313 3.933
1.313 3.933 3.933
7.869 7.869 7.869
5.246 5.246 5.246
```

Computed properties:
energy above the most stable polymorph in this dataset	568	meV per atom
size of the total moment	0.1	Bohr magnetons per cell
formation enthalpy at 0 K	46	kJ per mole of atoms



4.
Density functional theory data (PBE-GGA) for a relaxed BaMg2Ag crystal.

```
BaMg2Ag
1.0
4.282 -2.466 0.000
4.282 2.466 0.000
-2.842 0.000 6.011
Ba Mg Ag
1 2 1
Cartesian
0.000 0.000 0.000
0.002 0.000 3.553
2.856 0.000 2.599
5.709 0.000 2.545
```

Computed properties:
size of the total moment	0.0	Bohr magnetons per cell
formation enthalpy at 0 K	-14	kJ per mole of atoms